1.
NaCaAgPt | GGA-PBE | optimized geometry

## Properties
Crystal system ... cubic
D(E_F) ... 0.385 states/eV/atom
Energy relative to the elements ... -0.34 eV/atom
Calculated density ... 7.321 g/cm3

Cell lengths 4.897, 4.897, 4.897 Å; angles 60.00, 60.00, 60.00 degrees
Element x y z (fractional)
Na 0.000 0.000 0.000
Ca 0.750 0.750 0.750
Ag 0.250 0.250 0.250
Pt 0.500 0.500 0.500

***

2.
NaCa2AgRh | GGA-PBE | optimized geometry

## Properties
Crystal system ... tetragonal
D(E_F) ... 0.372 states/eV/atom
Energy relative to the elements ... -0.05 eV/atom
Calculated density ... 3.407 g/cm3

Cell lengths 5.375, 5.375, 5.297 Å; angles 90.00, 90.00, 90.00 degrees
Element x y z (fractional)
Na 0.000 0.000 0.000
Ca 0.000 0.500 0.500
Ca 0.500 0.000 0.500
Ag 0.500 0.500 0.000
Rh 0.500 0.500 0.500

***

3.
Na2CaAgS | GGA-PBE | optimized geometry

## Properties
Crystal system ... tetragonal
D(E_F) ... 0.974 states/eV/atom
Raw formation energy ... -0.060 eV per atom
Calculated density ... 2.404 g/cm3

Cell lengths 5.158, 5.158, 5.868 Å; angles 90.00, 90.00, 90.00 degrees
Element x y z (fractional)
Na 0.000 0.500 0.000
Na 0.500 0.000 0.000
Ca 0.000 0.000 0.500
Ag 0.000 0.000 0.000
S 0.500 0.500 0.500